## Ba3Sr6Ca (PBE-GGA)

Data for an optimized crystal structure of Ba3Sr6Ca.

Space group: No. 11

Unit cell a=7.046 b=11.337 c=14.941 alpha=109.86 beta=90.00 gamma=90.00
Element x y z (fractional)
Sr (0.750, 0.798, 0.861)
Ba (0.750, 0.202, 0.972)
Sr (0.750, 0.405, 0.278)
Ba (0.250, 0.798, 0.028)
Sr (0.250, 0.595, 0.722)
Sr (0.750, 0.604, 0.071)
Sr (0.750, 0.000, 0.168)
Ca (0.750, 0.598, 0.565)
Ca (0.250, 0.402, 0.435)
Sr (0.750, 0.997, 0.669)
Sr (0.250, 0.396, 0.929)
Sr (0.750, 0.213, 0.467)
Sr (0.250, 0.202, 0.139)
Sr (0.250, 0.787, 0.533)
Sr (0.250, 0.003, 0.331)
Ba (0.250, 0.595, 0.234)
Ba (0.750, 0.405, 0.766)
Sr (0.250, 0.000, 0.832)
Ba (0.250, 0.192, 0.625)
Ba (0.750, 0.808, 0.375)



## Ba2SrCa5 (PBE-GGA)

Data for an optimized crystal structure of Ba2SrCa5.

Space group: No. 123

Unit cell a=6.422 b=8.428 c=8.428 alpha=90.00 beta=90.00 gamma=90.00
Each line ends with the local moment (μB).
Element x y z (fractional)
Ca (0.000, 0.282, 0.282)  0.04
Ca (0.500, 0.000, 0.000)  0.10
Ba (0.500, 0.500, 0.000)  0.03
Ca (0.000, 0.718, 0.282)  0.04
Ca (0.000, 0.718, 0.718)  0.04
Sr (0.000, 0.000, 0.000)  0.17
Ba (0.500, 0.000, 0.500)  0.03
Ca (0.000, 0.282, 0.718)  0.04



Per-record distance to the lowest polymorph of the same formula, kJ/mol of formula units: 0.0 261.0